# 1
The following is a GGA-PBE calculation of an optimized crystal structure of Li15Cr2N9, from Alexandria via LeMat-Bulk.

Output
**Calculated density**: 2.27 g/cm³
**VASP energy**: -0.39469 Ry per atom
**E_form (uncorrected)**: -643.8 meV per atom
**Total moment**: 0.46 μB/cell
**Space-group type**: Pna2_1

Cell: 9.376 10.226 10.220 Å, 90.00 90.00 90.00°
Sites, in units of the cell vectors:
Li (0.000, 0.230, 0.011)
Li (0.000, 0.770, 0.511)
Li (0.002, 0.400, 0.181)
Li (0.015, 0.596, 0.046)
Li (0.015, 0.740, 0.874)
Li (0.015, 0.919, 0.013)
Li (0.017, 0.773, 0.198)
Li (0.213, 0.062, 0.876)
Li (0.220, 0.902, 0.351)
Li (0.233, 0.600, 0.718)
Li (0.240, 0.427, 0.177)
Li (0.243, 0.090, 0.500)
Li (0.243, 0.281, 0.371)
Li (0.244, 0.214, 0.693)
Li (0.244, 0.412, 0.567)
Li (0.249, 0.743, 0.531)
Li (0.251, 0.243, 0.031)
Li (0.256, 0.714, 0.193)
Li (0.256, 0.912, 0.067)
Li (0.257, 0.590, 0.000)
Li (0.257, 0.781, 0.871)
Li (0.260, 0.927, 0.677)
Li (0.267, 0.100, 0.218)
Li (0.280, 0.402, 0.851)
Li (0.287, 0.562, 0.376)
Li (0.483, 0.273, 0.698)
Li (0.485, 0.096, 0.546)
Li (0.485, 0.240, 0.374)
Li (0.485, 0.419, 0.513)
Li (0.498, 0.900, 0.681)
Li (0.500, 0.270, 0.011)
Li (0.500, 0.730, 0.511)
Li (0.502, 0.100, 0.181)
Li (0.515, 0.581, 0.013)
Li (0.515, 0.760, 0.874)
Li (0.515, 0.904, 0.046)
Li (0.517, 0.727, 0.198)
Li (0.713, 0.438, 0.876)
Li (0.720, 0.598, 0.351)
Li (0.733, 0.900, 0.718)
Li (0.740, 0.073, 0.177)
Li (0.743, 0.219, 0.371)
Li (0.743, 0.410, 0.500)
Li (0.744, 0.088, 0.567)
Li (0.744, 0.286, 0.693)
Li (0.749, 0.757, 0.531)
Li (0.751, 0.257, 0.031)
Li (0.756, 0.588, 0.067)
Li (0.756, 0.786, 0.193)
Li (0.757, 0.719, 0.871)
Li (0.757, 0.910, 0.000)
Li (0.760, 0.573, 0.677)
Li (0.767, 0.400, 0.218)
Li (0.780, 0.098, 0.851)
Li (0.787, 0.938, 0.376)
Li (0.983, 0.227, 0.698)
Li (0.985, 0.081, 0.513)
Li (0.985, 0.260, 0.374)
Li (0.985, 0.404, 0.546)
Li (0.998, 0.600, 0.681)
Cr (0.004, 0.081, 0.202)
Cr (0.004, 0.578, 0.362)
Cr (0.496, 0.078, 0.862)
Cr (0.496, 0.581, 0.702)
Cr (0.504, 0.419, 0.202)
Cr (0.504, 0.922, 0.362)
Cr (0.996, 0.422, 0.862)
Cr (0.996, 0.919, 0.702)
N (0.103, 0.420, 0.721)
N (0.105, 0.057, 0.690)
N (0.106, 0.434, 0.362)
N (0.108, 0.090, 0.344)
N (0.112, 0.412, 0.002)
N (0.112, 0.778, 0.693)
N (0.124, 0.082, 0.069)
N (0.124, 0.711, 0.363)
N (0.142, 0.752, 0.033)
N (0.358, 0.252, 0.533)
N (0.376, 0.211, 0.863)
N (0.376, 0.582, 0.569)
N (0.388, 0.278, 0.193)
N (0.388, 0.912, 0.502)
N (0.392, 0.590, 0.844)
N (0.394, 0.934, 0.862)
N (0.395, 0.557, 0.190)
N (0.397, 0.920, 0.221)
N (0.603, 0.080, 0.721)
N (0.605, 0.443, 0.690)
N (0.606, 0.066, 0.362)
N (0.608, 0.410, 0.344)
N (0.612, 0.088, 0.002)
N (0.612, 0.722, 0.693)
N (0.624, 0.418, 0.069)
N (0.624, 0.789, 0.363)
N (0.642, 0.748, 0.033)
N (0.858, 0.248, 0.533)
N (0.876, 0.289, 0.863)
N (0.876, 0.918, 0.569)
N (0.888, 0.222, 0.193)
N (0.888, 0.588, 0.502)
N (0.892, 0.910, 0.844)
N (0.894, 0.566, 0.862)
N (0.895, 0.943, 0.190)
N (0.897, 0.580, 0.221)

# 2
The following is a GGA-PBE calculation of an optimized crystal structure of AcErTi, from Alexandria via LeMat-Bulk.

Output
**Calculated density**: 7.92 g/cm³
**VASP energy**: -0.38776 Ry per atom
**Total moment**: 0.00 μB/cell
**Space-group type**: P-1
**Formation enthalpy at 0 K**: 0.246 eV/atom
**Fermi-level density of states**: 1.426 states/eV/atom

Cell: 3.581 5.837 9.086 Å, 79.01 87.29 84.35°
Sites, in units of the cell vectors:
Ac (0.247, 0.281, 0.385)
Ac (0.753, 0.719, 0.615)
Er (0.356, 0.177, 0.828)
Er (0.644, 0.823, 0.172)
Ti (0.192, 0.659, 0.926)
Ti (0.808, 0.341, 0.074)